A plane-wave DFT calculation with GGA+U was carried out for a relaxed structure of Mn3CuP4O16.

Lattice parameters (Å, degrees): 6.0476 5.0005 9.9626 88.33 90.00 90.00
Closest atoms and distances in Å follow each position.
Positions (direct):
P 0.0000 0.5858 0.1044  4 O 1.55-1.56
P 0.0000 0.9258 0.6053  4 O 1.54-1.56
P 0.5000 0.4060 0.8979  4 O 1.54-1.56
P 0.5000 0.0724 0.3934  4 O 1.53-1.57
Mn 0.0000 0.4160 0.7931  4 O 1.89-2.00
Mn 0.5000 0.9152 0.7086  4 O 1.90-1.99
Mn 0.5000 0.5777 0.2035  4 O 1.92-1.96
O 0.8018 0.7735 0.6732  1 P 1.56
O 0.5000 0.3529 0.0506  1 P 1.54
O 0.3048 0.2298 0.3235  1 P 1.57
O 0.0000 0.2789 0.1348  1 P 1.56
O 0.2045 0.7232 0.1650  1 P 1.55
O 0.5000 0.7124 0.8730  1 P 1.54
O 0.6990 0.2650 0.8287  1 P 1.56
O 0.1982 0.7735 0.6732  1 P 1.56
O 0.6952 0.2298 0.3235  1 P 1.57
O 0.3010 0.2650 0.8287  1 P 1.56
O 0.0000 0.2285 0.6297  1 P 1.54
O 0.0000 0.8912 0.4518  1 P 1.54
O 0.7955 0.7232 0.1650  1 P 1.55
O 0.5000 0.7715 0.3690  1 P 1.53
O 0.0000 0.6220 0.9496  1 P 1.55
O 0.5000 0.1225 0.5454  1 P 1.54
Cu 0.0000 0.1381 0.3089  4 O 1.85-1.91

Calculated values
Space-group type: Pm (6)
E_tot (eV per cell): -171.3
Magnetization (μB/f.u.): 11.918